1.
A plane-wave DFT calculation with PBE was carried out for crystalline FeSbAs2 at its relaxed geometry.

V	18.852	Å³/atom
energy	-4.944	eV/atom
ΔE_f (raw)	203.3	kJ/mol of formula units
spin magnetization	2.279	μB per formula unit

Cell lengths 4.7422, 4.7422, 4.7422 Å; angles 60.00, 60.00, 60.00 degrees
Each line ends with the local moment (μB).
Fractional coordinates of all 4 atoms:
As: 0.0000 0.0000 0.0000  0.00
As: 0.2500 0.2500 0.2500  -0.06
Fe: 0.5000 0.5000 0.5000  2.60
Sb: 0.7500 0.7500 0.7500  -0.07

***

2.
A plane-wave DFT calculation with PBE was carried out for crystalline Fe2SbAs at its relaxed geometry.

V	16.125	Å³/atom
energy	-6.167	eV/atom
ΔE_f (raw)	99.1	kJ/mol of formula units
spin magnetization	3.843	μB per formula unit

Cell lengths 7.4199, 7.4199, 7.4199 Å; angles 25.06, 25.06, 25.06 degrees
Each line ends with the local moment (μB).
Fractional coordinates of all 4 atoms:
As: 0.7500 0.7500 0.7500  -0.06
Fe: 0.0092 0.0092 0.0092  1.99
Fe: 0.4908 0.4908 0.4908  1.99
Sb: 0.2500 0.2500 0.2500  -0.04

***

3.
A plane-wave DFT calculation with PBE was carried out for crystalline FeSb2As at its relaxed geometry.

V	21.646	Å³/atom
energy	-4.781	eV/atom
ΔE_f (raw)	215.3	kJ/mol of formula units
spin magnetization	2.891	μB per formula unit

Cell lengths 5.8550, 5.8550, 5.8550 Å; angles 138.69, 138.69, 59.85 degrees
Each line ends with the local moment (μB).
Fractional coordinates of all 4 atoms:
As: 0.5000 0.5000 0.0000  0.01
Fe: 0.7500 0.2500 0.5000  2.90
Sb: 0.0000 0.0000 0.0000  -0.02
Sb: 0.2500 0.7500 0.5000  -0.03

***

4.
A plane-wave DFT calculation with PBE was carried out for crystalline Fe2SbAs at its relaxed geometry.

V	18.769	Å³/atom
energy	-6.342	eV/atom
ΔE_f (raw)	31.7	kJ/mol of formula units
spin magnetization	4.224	μB per formula unit

Cell lengths 4.2647, 4.2647, 6.3310 Å; angles 73.28, 73.28, 43.29 degrees
Each line ends with the local moment (μB).
Fractional coordinates of all 4 atoms:
As: 0.2447 0.2447 0.1196  -0.07
Fe: 0.9958 0.9958 0.9710  2.32
Fe: 0.7443 0.7443 0.8147  2.07
Sb: 0.5151 0.5151 0.5947  -0.06

***

5.
A plane-wave DFT calculation with PBE was carried out for crystalline FeSbAs2 at its relaxed geometry.

V	18.825	Å³/atom
energy	-5.259	eV/atom
ΔE_f (raw)	81.8	kJ/mol of formula units
spin magnetization	1.271	μB per formula unit

Cell lengths 3.2040, 3.2034, 7.3365 Å; angles 90.00, 90.00, 90.00 degrees
Each line ends with the local moment (μB).
Fractional coordinates of all 4 atoms:
As: 0.0000 0.0000 0.0766  -0.03
As: 0.5000 0.5000 0.2869  -0.03
Fe: 0.0000 0.0000 0.4495  1.53
Sb: 0.5000 0.5000 0.6870  -0.06

***

6.
A plane-wave DFT calculation with PBE was carried out for crystalline Fe2SbAs at its relaxed geometry.

V	16.825	Å³/atom
energy	-5.898	eV/atom
ΔE_f (raw)	203.3	kJ/mol of formula units
spin magnetization	5.185	μB per formula unit

Cell lengths 4.5658, 4.5658, 4.5658 Å; angles 60.00, 60.00, 60.00 degrees
Each line ends with the local moment (μB).
Fractional coordinates of all 4 atoms:
As: 0.5000 0.5000 0.5000  0.02
Fe: 0.0000 0.0000 0.0000  2.56
Fe: 0.2500 0.2500 0.2500  2.70
Sb: 0.7500 0.7500 0.7500  -0.01